(1)
# MgW2Cl2 | the Alexandria database | GGA-PBE | relaxed
data_MgW2Cl2
_chemical_formula_sum 'Mg2 W4 Cl4'
_cell_length_a 9.190
_cell_length_b 9.190
_cell_length_c 2.870
_cell_angle_alpha 90.00
_cell_angle_beta 90.00
_cell_angle_gamma 90.00
_space_group_name_H-M_alt 'P 4/m b m'
_space_group_IT_number 127
_space_group_name_Hall '-P 4 2ab'
loop_
_atom_site_label
_atom_site_fract_x
_atom_site_fract_y
_atom_site_fract_z
Mg1 0.000 0.000 0.000
W1 0.093 0.407 0.000
Cl1 0.247 0.253 0.500
# DFT total energy in eV for the cell shown: -52.40
# Crystal system: tetragonal
# Magnetization in μB per atom: 0.20
# Formation energy without anion corrections in eV/atom: 0.999
# Excess energy over the best structure of this formula in the dataset in eV/atom: 0.262

***

(2)
# Mg2WCl | the Alexandria database | GGA-PBE | relaxed
data_Mg2WCl
_chemical_formula_sum 'Mg4 W2 Cl2'
_cell_length_a 6.164
_cell_length_b 8.387
_cell_length_c 2.861
_cell_angle_alpha 90.00
_cell_angle_beta 90.00
_cell_angle_gamma 90.00
_space_group_name_H-M_alt 'C m m m'
_space_group_IT_number 65
_space_group_name_Hall '-C 2 2'
loop_
_atom_site_label
_atom_site_fract_x
_atom_site_fract_y
_atom_site_fract_z
Mg1 0.250 0.250 0.000
W1 0.000 0.000 0.500
Cl1 0.000 0.500 0.500
# DFT total energy in eV for the cell shown: -33.55
# Crystal system: orthorhombic
# Magnetization in μB per atom: 0.00
# Formation energy without anion corrections in eV/atom: 0.304
# Excess energy over the best structure of this formula in the dataset in eV/atom: 0.454

***

(3)
# Mg2WCl | the Alexandria database | GGA-PBE | relaxed
data_Mg2WCl
_chemical_formula_sum 'Mg4 W2 Cl2'
_cell_length_a 3.731
_cell_length_b 4.632
_cell_length_c 8.372
_cell_angle_alpha 90.00
_cell_angle_beta 90.00
_cell_angle_gamma 90.00
_space_group_name_H-M_alt 'C m m m'
_space_group_IT_number 65
_space_group_name_Hall '-C 2 2'
loop_
_atom_site_label
_atom_site_fract_x
_atom_site_fract_y
_atom_site_fract_z
Mg1 0.000 0.000 0.250
W1 0.000 0.500 0.000
Cl1 0.000 0.500 0.500
# DFT total energy in eV for the cell shown: -36.63
# Crystal system: orthorhombic
# Magnetization in μB per atom: 0.00
# Formation energy without anion corrections in eV/atom: -0.081
# Excess energy over the best structure of this formula in the dataset in eV/atom: 0.069

***

(4)
# Mg2WCl | the Alexandria database | GGA-PBE | relaxed
data_Mg2WCl
_chemical_formula_sum 'Mg6 W3 Cl3'
_cell_length_a 3.1195
_cell_length_b 3.1195
_cell_length_c 25.5342
_cell_angle_alpha 90.00
_cell_angle_beta 90.00
_cell_angle_gamma 120.00
_space_group_name_H-M_alt 'R -3 m'
_space_group_IT_number 166
_space_group_name_Hall '-R 3 2"'
loop_
_atom_site_label
_atom_site_fract_x
_atom_site_fract_y
_atom_site_fract_z
Mg1 0.0000 0.0000 0.2471
W1 0.0000 0.0000 0.0000
Cl1 0.0000 0.0000 0.5000
# DFT total energy in eV for the cell shown: -55.01
# Crystal system: trigonal
# Magnetization in μB per atom: 0.00
# Formation energy without anion corrections in eV/atom: -0.087
# Excess energy over the best structure of this formula in the dataset in eV/atom: 0.063

***

(5)
# Mg2WCl | the Alexandria database | GGA-PBE | relaxed
data_Mg2WCl
_chemical_formula_sum 'Mg4 W2 Cl2'
_cell_length_a 10.689
_cell_length_b 2.925
_cell_length_c 5.185
_cell_angle_alpha 90.00
_cell_angle_beta 106.74
_cell_angle_gamma 90.00
_space_group_name_H-M_alt 'C 1 m 1'
_space_group_IT_number 8
loop_
_space_group_symop_operation_xyz
'x,y,z'
'x,-y,z'
'x+1/2,y+1/2,z'
'x+1/2,-y+1/2,z'
loop_
_atom_site_label
_atom_site_fract_x
_atom_site_fract_y
_atom_site_fract_z
Mg1 0.000 0.000 0.000
Mg2 0.200 0.000 0.622
W1 0.457 0.000 0.499
Cl1 0.292 0.500 0.183
# DFT total energy in eV for the cell shown: -34.29
# Crystal system: monoclinic
# Magnetization in μB per atom: 0.00
# Formation energy without anion corrections in eV/atom: 0.211
# Excess energy over the best structure of this formula in the dataset in eV/atom: 0.361

***

(6)
# Mg2WCl | the Alexandria database | GGA-PBE | relaxed
data_Mg2WCl
_chemical_formula_sum 'Mg2 W1 Cl1'
_cell_length_a 2.962
_cell_length_b 2.962
_cell_length_c 8.308
_cell_angle_alpha 90.00
_cell_angle_beta 90.00
_cell_angle_gamma 90.00
_space_group_name_H-M_alt 'P 4/m m m'
_space_group_IT_number 123
_space_group_name_Hall '-P 4 2'
loop_
_atom_site_label
_atom_site_fract_x
_atom_site_fract_y
_atom_site_fract_z
Mg1 0.000 0.000 0.248
W1 0.500 0.500 0.000
Cl1 0.500 0.500 0.500
# DFT total energy in eV for the cell shown: -18.27
# Crystal system: tetragonal
# Magnetization in μB per atom: 0.00
# Formation energy without anion corrections in eV/atom: -0.071
# Excess energy over the best structure of this formula in the dataset in eV/atom: 0.079

***

(7)
# Mg2WCl | the Alexandria database | GGA-PBE | relaxed
data_Mg2WCl
_chemical_formula_sum 'Mg4 W2 Cl2'
_cell_length_a 3.040
_cell_length_b 5.159
_cell_length_c 10.938
_cell_angle_alpha 90.00
_cell_angle_beta 90.00
_cell_angle_gamma 90.00
_space_group_name_H-M_alt 'C m m 2'
_space_group_IT_number 35
loop_
_space_group_symop_operation_xyz
'x,y,z'
'-x,-y,z'
'-x,y,z'
'x,-y,z'
'x+1/2,y+1/2,z'
'-x+1/2,-y+1/2,z'
'-x+1/2,y+1/2,z'
'x+1/2,-y+1/2,z'
loop_
_atom_site_label
_atom_site_fract_x
_atom_site_fract_y
_atom_site_fract_z
Mg1 0.000 0.000 0.000
Mg2 0.000 0.500 0.255
W1 0.000 0.000 0.477
Cl1 0.000 0.500 0.655
# DFT total energy in eV for the cell shown: -33.71
# Crystal system: orthorhombic
# Magnetization in μB per atom: 0.00
# Formation energy without anion corrections in eV/atom: 0.283
# Excess energy over the best structure of this formula in the dataset in eV/atom: 0.433

***

(8)
# Mg2WCl | the Alexandria database | GGA-PBE | relaxed
data_Mg2WCl
_chemical_formula_sum 'Mg4 W2 Cl2'
_cell_length_a 3.014
_cell_length_b 5.067
_cell_length_c 10.262
_cell_angle_alpha 90.00
_cell_angle_beta 90.00
_cell_angle_gamma 90.00
_space_group_name_H-M_alt 'I m m 2'
_space_group_IT_number 44
loop_
_space_group_symop_operation_xyz
'x,y,z'
'-x,-y,z'
'-x,y,z'
'x,-y,z'
'x+1/2,y+1/2,z+1/2'
'-x+1/2,-y+1/2,z+1/2'
'-x+1/2,y+1/2,z+1/2'
'x+1/2,-y+1/2,z+1/2'
loop_
_atom_site_label
_atom_site_fract_x
_atom_site_fract_y
_atom_site_fract_z
Mg1 0.000 0.000 0.000
Mg2 0.000 0.500 0.198
W1 0.000 0.500 0.738
Cl1 0.000 0.000 0.423
# DFT total energy in eV for the cell shown: -33.74
# Crystal system: orthorhombic
# Magnetization in μB per atom: 0.00
# Formation energy without anion corrections in eV/atom: 0.279
# Excess energy over the best structure of this formula in the dataset in eV/atom: 0.429

***

(9)
# Mg2WCl | the Alexandria database | GGA-PBE | relaxed
data_Mg2WCl
_chemical_formula_sum 'Mg2 W1 Cl1'
_cell_length_a 2.928
_cell_length_b 4.895
_cell_length_c 5.192
_cell_angle_alpha 90.00
_cell_angle_beta 92.98
_cell_angle_gamma 90.00
_space_group_name_H-M_alt 'P 1 m 1'
_space_group_IT_number 6
loop_
_space_group_symop_operation_xyz
'x,y,z'
'x,-y,z'
loop_
_atom_site_label
_atom_site_fract_x
_atom_site_fract_y
_atom_site_fract_z
Mg1 0.000 0.000 0.000
Mg2 0.038 0.500 0.645
W1 0.527 0.500 0.142
Cl1 0.603 0.000 0.449
# DFT total energy in eV for the cell shown: -16.70
# Crystal system: monoclinic
# Magnetization in μB per atom: 0.00
# Formation energy without anion corrections in eV/atom: 0.322
# Excess energy over the best structure of this formula in the dataset in eV/atom: 0.472

***

(10)
# MgWCl6 | the Alexandria database | GGA-PBE | relaxed
data_MgWCl6
_chemical_formula_sum 'Mg3 W3 Cl18'
_cell_length_a 6.2617
_cell_length_b 6.2617
_cell_length_c 16.8345
_cell_angle_alpha 90.00
_cell_angle_beta 90.00
_cell_angle_gamma 120.00
_space_group_name_H-M_alt 'R -3'
_space_group_IT_number 148
_space_group_name_Hall '-R 3'
loop_
_atom_site_label
_atom_site_fract_x
_atom_site_fract_y
_atom_site_fract_z
Mg1 0.0000 0.0000 0.0000
W1 0.0000 0.0000 0.5000
Cl1 0.0108 0.3186 0.5816
# DFT total energy in eV for the cell shown: -102.92
# Crystal system: trigonal
# Magnetization in μB per atom: 0.25
# Formation energy without anion corrections in eV/atom: -1.085

***

(11)
# MgWCl | the Alexandria database | GGA-PBE | relaxed
data_MgWCl
_chemical_formula_sum 'Mg4 W4 Cl4'
_cell_length_a 6.028
_cell_length_b 6.028
_cell_length_c 6.028
_cell_angle_alpha 90.00
_cell_angle_beta 90.00
_cell_angle_gamma 90.00
_space_group_name_H-M_alt 'F -4 3 m'
_space_group_IT_number 216
_space_group_name_Hall 'F -4 2 3'
loop_
_atom_site_label
_atom_site_fract_x
_atom_site_fract_y
_atom_site_fract_z
Mg1 0.000 0.000 0.000
W1 0.000 0.000 0.500
Cl1 0.250 0.250 0.250
# DFT total energy in eV for the cell shown: -49.36
# Crystal system: cubic
# Magnetization in μB per atom: 0.11
# Formation energy without anion corrections in eV/atom: 1.351
# Excess energy over the best structure of this formula in the dataset in eV/atom: 1.158

***

(12)
# Mg2WCl2 | the Alexandria database | GGA-PBE | relaxed
data_Mg2WCl2
_chemical_formula_sum 'Mg4 W2 Cl4'
_cell_length_a 5.454
_cell_length_b 5.454
_cell_length_c 7.596
_cell_angle_alpha 90.00
_cell_angle_beta 90.00
_cell_angle_gamma 90.00
_space_group_name_H-M_alt 'I 4/m m m'
_space_group_IT_number 139
_space_group_name_Hall '-I 4 2'
loop_
_atom_site_label
_atom_site_fract_x
_atom_site_fract_y
_atom_site_fract_z
Mg1 0.000 0.500 0.250
W1 0.000 0.000 0.000
Cl1 0.000 0.000 0.311
# DFT total energy in eV for the cell shown: -36.03
# Crystal system: tetragonal
# Magnetization in μB per atom: 0.66
# Formation energy without anion corrections in eV/atom: 0.364

***

(13)
# MgWCl | the Alexandria database | GGA-PBE | relaxed
data_MgWCl
_chemical_formula_sum 'Mg1 W1 Cl1'
_cell_length_a 4.5765
_cell_length_b 4.5765
_cell_length_c 2.8569
_cell_angle_alpha 90.00
_cell_angle_beta 90.00
_cell_angle_gamma 120.00
_space_group_name_H-M_alt 'P -6 m 2'
_space_group_IT_number 187
_space_group_name_Hall 'P -6 2'
loop_
_atom_site_label
_atom_site_fract_x
_atom_site_fract_y
_atom_site_fract_z
Mg1 0.0000 0.0000 0.0000
W1 0.6667 0.3333 0.5000
Cl1 0.3333 0.6667 0.5000
# DFT total energy in eV for the cell shown: -14.39
# Crystal system: hexagonal
# Magnetization in μB per atom: 0.00
# Formation energy without anion corrections in eV/atom: 0.669
# Excess energy over the best structure of this formula in the dataset in eV/atom: 0.476

***

(14)
# Mg2WCl | the Alexandria database | GGA-PBE | relaxed
data_Mg2WCl
_chemical_formula_sum 'Mg8 W4 Cl4'
_cell_length_a 6.825
_cell_length_b 6.825
_cell_length_c 6.825
_cell_angle_alpha 90.00
_cell_angle_beta 90.00
_cell_angle_gamma 90.00
_space_group_name_H-M_alt 'F -4 3 m'
_space_group_IT_number 216
_space_group_name_Hall 'F -4 2 3'
loop_
_atom_site_label
_atom_site_fract_x
_atom_site_fract_y
_atom_site_fract_z
Mg1 0.000 0.000 0.000
Mg2 0.250 0.250 0.250
W1 0.250 0.250 0.750
Cl1 0.000 0.000 0.500
# DFT total energy in eV for the cell shown: -57.02
# Crystal system: cubic
# Magnetization in μB per atom: 0.74
# Formation energy without anion corrections in eV/atom: 0.933
# Excess energy over the best structure of this formula in the dataset in eV/atom: 1.083

***

(15)
# Mg3WCl | the Alexandria database | GGA-PBE | relaxed
data_Mg3WCl
_chemical_formula_sum 'Mg3 W1 Cl1'
_cell_length_a 5.489
_cell_length_b 5.489
_cell_length_c 5.489
_cell_angle_alpha 90.00
_cell_angle_beta 90.00
_cell_angle_gamma 90.00
_space_group_name_H-M_alt 'P m -3 m'
_space_group_IT_number 221
_space_group_name_Hall '-P 4 2 3'
loop_
_atom_site_label
_atom_site_fract_x
_atom_site_fract_y
_atom_site_fract_z
Mg1 0.000 0.000 0.500
W1 0.000 0.000 0.000
Cl1 0.500 0.500 0.500
# DFT total energy in eV for the cell shown: -14.48
# Crystal system: cubic
# Magnetization in μB per atom: 0.81
# Formation energy without anion corrections in eV/atom: 1.021
# Excess energy over the best structure of this formula in the dataset in eV/atom: 0.209